Density functional theory data (PBE) for a relaxed structure of KMg2Se.

It has space group Pmmm (No. 47), with a = 4.503 Å, b = 4.542 Å, c = 5.250 Å, α = 90.00°, β = 90.00° and γ = 90.00°. Symmetry generates all atoms from K at (0.000, 0.000, 0.000), Mg at (0.000, 0.500, 0.500), Mg at (0.500, 0.000, 0.500) and Se at (0.500, 0.500, 0.000).

As for the crystal system: orthorhombic. For the formation energy (no corrections), the calculation gives -0.27 eV/atom. Its total energy is -8.9 eV/cell.

=====

Density functional theory data (PBE) for a relaxed structure of Rb3Ce3CdTe8.

It has space group C2/m (No. 12), with a = 15.697 Å, b = 9.100 Å, c = 10.110 Å, α = 90.00°, β = 121.04° and γ = 90.00°. Symmetry generates all atoms from Rb at (0.000, 0.000, 0.000), Rb at (0.250, 0.250, 0.000), Ce at (0.000, 0.500, 0.500), Ce at (0.250, 0.250, 0.500), Cd at (0.000, 0.000, 0.500), Te at (0.019, 0.253, 0.303), Te at (0.231, 0.000, 0.695) and Te at (0.234, 0.500, 0.703).

As for the crystal system: monoclinic. For the formation energy (no corrections), the calculation gives -1.10 eV/atom. Its total energy is -126.5 eV/cell.

=====

Density functional theory data (PBE) for a relaxed structure of Np2MnSi3Ir4.

It has space group P-4m2 (No. 115), with a = 4.060 Å, b = 4.060 Å, c = 10.316 Å, α = 90.00°, β = 90.00° and γ = 90.00°. Symmetry generates all atoms from Np at (0.000, 0.500, 0.246), Mn at (0.500, 0.500, 0.000), Si at (0.000, 0.000, 0.000), Si at (0.000, 0.500, 0.627), Ir at (0.000, 0.000, 0.500), Ir at (0.000, 0.500, 0.858) and Ir at (0.500, 0.500, 0.500).

As for the crystal system: tetragonal. For the formation energy (no corrections), the calculation gives -0.61 eV/atom. Its total energy is -92.9 eV/cell.

=====

Density functional theory data (PBE) for a relaxed structure of B3OsI.

It has space group Pm-3m (No. 221), with a = 4.280 Å, b = 4.280 Å, c = 4.280 Å, α = 90.00°, β = 90.00° and γ = 90.00°. Symmetry generates all atoms from B at (0.000, 0.000, 0.500), Os at (0.000, 0.000, 0.000) and I at (0.500, 0.500, 0.500).

The excess energy over the best structure of this formula in the dataset is 0.0000 eV/atom. As for the crystal system: cubic. For the formation energy (no corrections), the calculation gives 1.31 eV/atom. Its total energy is -26.3 eV/cell.

=====

Density functional theory data (PBE) for a relaxed structure of Cd2HgTe2.

It has space group P4/mbm (No. 127), with a = 8.467 Å, b = 8.467 Å, c = 4.000 Å, α = 90.00°, β = 90.00° and γ = 90.00°. Symmetry generates all atoms from Cd at (0.138, 0.362, 0.000), Hg at (0.000, 0.000, 0.500) and Te at (0.167, 0.667, 0.500).

The excess energy over the best structure of this formula in the dataset is 0.2240 eV/atom. As for the crystal system: tetragonal. For the formation energy (no corrections), the calculation gives -0.03 eV/atom. Its total energy is -17.1 eV/cell.

=====

Density functional theory data (PBE) for a relaxed structure of Fe2AsPt2.

It has space group I4/mmm (No. 139), with a = 3.739 Å, b = 3.739 Å, c = 11.818 Å, α = 90.00°, β = 90.00° and γ = 90.00°. Symmetry generates all atoms from Fe at (0.000, 0.000, 0.101), As at (0.000, 0.000, 0.500) and Pt at (0.000, 0.500, 0.250).

The excess energy over the best structure of this formula in the dataset is 0.2211 eV/atom. As for the crystal system: tetragonal. As for the energy relative to the elements: 253 meV/atom. Its total energy is -64.8 eV/cell.

=====

Density functional theory data (PBE) for a relaxed structure of Cs2HfSnF6.

It has space group I4/mmm (No. 139), with a = 6.437 Å, b = 6.437 Å, c = 12.484 Å, α = 90.00°, β = 90.00° and γ = 90.00°. Symmetry generates all atoms from Cs at (0.000, 0.500, 0.250), Hf at (0.000, 0.000, 0.000), Sn at (0.000, 0.000, 0.500), F at (0.000, 0.000, 0.161) and F at (0.221, 0.221, 0.000).

As for the crystal system: tetragonal. For the formation energy (no corrections), the calculation gives -2.83 eV/atom. Its total energy is -110.3 eV/cell.

=====

Density functional theory data (PBE) for a relaxed structure of Pr2Ni15Sn2.

It has space group R-3m (No. 166, hexagonal axes), with a = 8.5598 Å, b = 8.5598 Å, c = 12.5840 Å, α = 90.00°, β = 90.00° and γ = 120.00°. Symmetry generates all atoms from Pr at (0.0000, 0.0000, 0.1443), Ni at (0.0000, 0.2998, 0.5000), Ni at (0.0000, 0.5000, 0.0000), Ni at (0.0018, 0.5009, 0.6553) and Sn at (0.0000, 0.0000, 0.3905).

As for the crystal system: trigonal. As for the energy relative to the elements: -154 meV/atom. Its total energy is -321.6 eV/cell.

=====

Which formula does entry 6 have? Fe2AsPt2